A relaxed structure of Sb2OsAu, computed with PBE.

abc: 6.6652 3.3871 7.8908
angles: 90.00 104.11 90.00
Space group C2/m (No. 12)
Inequivalent atoms, fractional coordinates:
Sb 0.2488 0.0000 0.2227 [4 per cell]
Os 0.0000 0.5000 0.0000 [2 per cell]
Au 0.0000 0.0000 0.5000 [2 per cell]

Properties
Fermi-level density of states = 4.8 states/eV per cell
VASP energy = -42.9 eV for the cell shown
formation energy without anion corrections = 325 meV/atom
energy above the most stable polymorph in this dataset = 13 kJ/mol of formula units

A relaxed structure of Sb2OsAu, computed with PBE.

abc: 3.2419 3.2419 29.6272
angles: 90.00 90.00 120.00
Space group R3m (No. 160, hexagonal axes)
Inequivalent atoms, fractional coordinates:
Sb 0.0000 0.0000 0.0000 [3 per cell]
Sb 0.0000 0.0000 0.2095 [3 per cell]
Os 0.0000 0.0000 0.4786 [3 per cell]
Au 0.0000 0.0000 0.7404 [3 per cell]

Properties
Fermi-level density of states = 13.2 states/eV per cell
VASP energy = -62.6 eV for the cell shown
formation energy without anion corrections = 468 meV/atom
energy above the most stable polymorph in this dataset = 68 kJ/mol of formula units

A relaxed structure of Sb4OsAu, computed with PBE.

abc: 6.5975 6.6372 6.6989
angles: 90.00 93.18 90.00
Space group P2_1/c (No. 14)
Inequivalent atoms, fractional coordinates:
Sb 0.0910 0.1367 0.1440 [4 per cell]
Sb 0.3678 0.6233 0.1122 [4 per cell]
Os 0.0000 0.0000 0.5000 [2 per cell]
Au 0.5000 0.0000 0.0000 [2 per cell]

Properties
Fermi-level density of states = 8.3 states/eV per cell
VASP energy = -62.0 eV for the cell shown
formation energy without anion corrections = -3 meV/atom
energy above the most stable polymorph in this dataset = 0 kJ/mol of formula units

A relaxed structure of Sb2OsAu, computed with PBE.

abc: 4.4272 3.3929 5.6405
angles: 90.00 95.83 90.00
Space group P2/m (No. 10)
Inequivalent atoms, fractional coordinates:
Sb 0.0000 0.0000 0.0000 [1 per cell]
Sb 0.5000 0.5000 0.5000 [1 per cell]
Os 0.0000 0.0000 0.5000 [1 per cell]
Au 0.5000 0.5000 0.0000 [1 per cell]

Properties
Fermi-level density of states = 2.4 states/eV per cell
VASP energy = -21.0 eV for the cell shown
formation energy without anion corrections = 445 meV/atom
energy above the most stable polymorph in this dataset = 59 kJ/mol of formula units

What is the energy above the most stable polymorph in this dataset in the fourth record? 59 kJ/mol of formula units